Arrangement a

# GGA-PBE BaSn3H, relaxed
data_BaSn3H
_symmetry_space_group_name_H-M 'P m -3 m'
_symmetry_Int_Tables_number 221
_symmetry_space_group_name_Hall '-P 4 2 3'
_cell_length_a 6.395
_cell_length_b 6.395
_cell_length_c 6.395
_cell_angle_alpha 90.00
_cell_angle_beta 90.00
_cell_angle_gamma 90.00
loop_
_atom_site_label
_atom_site_fract_x
_atom_site_fract_y
_atom_site_fract_z
Ba1 0.000 0.000 0.000
Sn1 0.000 0.000 0.500
H1 0.500 0.500 0.500
# - Magnetization: 1.0 Bohr magnetons per cell

---

Arrangement b

# GGA-PBE BaSn3H, relaxed
data_BaSn3H
_symmetry_space_group_name_H-M 'P m -3 m'
_symmetry_Int_Tables_number 221
_symmetry_space_group_name_Hall '-P 4 2 3'
_cell_length_a 5.013
_cell_length_b 5.013
_cell_length_c 5.013
_cell_angle_alpha 90.00
_cell_angle_beta 90.00
_cell_angle_gamma 90.00
loop_
_atom_site_label
_atom_site_fract_x
_atom_site_fract_y
_atom_site_fract_z
Ba1 0.000 0.000 0.000
Sn1 0.000 0.500 0.500
H1 0.500 0.500 0.500
# - Magnetization: 0.0 Bohr magnetons per cell

---

Arrangement c

# GGA-PBE BaSn3H, relaxed
data_BaSn3H
_symmetry_space_group_name_H-M 'P 1 21/m 1'
_symmetry_Int_Tables_number 11
_symmetry_space_group_name_Hall '-P 2yb'
_cell_length_a 6.594
_cell_length_b 5.627
_cell_length_c 7.425
_cell_angle_alpha 90.00
_cell_angle_beta 91.54
_cell_angle_gamma 90.00
loop_
_atom_site_label
_atom_site_fract_x
_atom_site_fract_y
_atom_site_fract_z
Ba1 0.126 0.250 0.266
Sn1 0.259 0.250 0.783
Sn2 0.355 0.750 0.992
Sn3 0.390 0.750 0.483
H1 0.482 0.750 0.742
# - Magnetization: 0.0 Bohr magnetons per cell

---

Bottom line: arrangement c, by a margin of 90 meV/atom.

---

Arrangement a

# GGA-PBE BaSnH3, relaxed
data_BaSnH3
_symmetry_space_group_name_H-M 'P m -3 m'
_symmetry_Int_Tables_number 221
_symmetry_space_group_name_Hall '-P 4 2 3'
_cell_length_a 4.763
_cell_length_b 4.763
_cell_length_c 4.763
_cell_angle_alpha 90.00
_cell_angle_beta 90.00
_cell_angle_gamma 90.00
loop_
_atom_site_label
_atom_site_fract_x
_atom_site_fract_y
_atom_site_fract_z
Ba1 0.000 0.000 0.000
Sn1 0.500 0.500 0.500
H1 0.000 0.000 0.500
# - Magnetization: 0.0 Bohr magnetons per cell

---

Arrangement b

# GGA-PBE BaSnH3, relaxed
data_BaSnH3
_symmetry_space_group_name_H-M 'P 1 21/m 1'
_symmetry_Int_Tables_number 11
_symmetry_space_group_name_Hall '-P 2yb'
_cell_length_a 4.740
_cell_length_b 5.397
_cell_length_c 7.003
_cell_angle_alpha 90.00
_cell_angle_beta 108.83
_cell_angle_gamma 90.00
loop_
_atom_site_label
_atom_site_fract_x
_atom_site_fract_y
_atom_site_fract_z
Ba1 0.148 0.250 0.284
Sn1 0.457 0.250 0.853
H1 0.061 0.250 0.855
H2 0.308 0.501 0.631
# - Magnetization: 0.0 Bohr magnetons per cell

---

Arrangement c

# GGA-PBE BaSnH3, relaxed
data_BaSnH3
_symmetry_space_group_name_H-M 'P m -3 m'
_symmetry_Int_Tables_number 221
_symmetry_space_group_name_Hall '-P 4 2 3'
_cell_length_a 4.351
_cell_length_b 4.351
_cell_length_c 4.351
_cell_angle_alpha 90.00
_cell_angle_beta 90.00
_cell_angle_gamma 90.00
loop_
_atom_site_label
_atom_site_fract_x
_atom_site_fract_y
_atom_site_fract_z
Ba1 0.000 0.000 0.000
Sn1 0.500 0.500 0.500
H1 0.000 0.500 0.500
# - Magnetization: 0.0 Bohr magnetons per cell

---

Bottom line: arrangement b, by a margin of 223 meV/atom.